1.
VASP calculation (GGA-PBE) on an optimized crystal structure of LiInMo2.

Cell: 5.2500 9.1737 2.7607 Å, 90.00 90.00 90.00°
With the nearest neighbours (Å) after each atom.
Space group Cmmm (No. 65)
Unique sites:
1 Li 0.0000 0.0000 0.0000 (multiplicity 2)  2 In 2.63, 2 Li 2.76
2 In 0.0000 0.5000 0.0000 (multiplicity 2)  2 Li 2.63, 2 In 2.76
3 Mo 0.2500 0.2500 0.5000 (multiplicity 4)  4 Mo 2.63-2.76

Electronic total energy ... -6.222 eV/atom
Magnetization ... 0.0000 μB per atom
Crystal system ... orthorhombic

=====

2.
VASP calculation (GGA-PBE) on an optimized crystal structure of LiInMo2.

Cell: 3.4342 4.2692 9.3229 Å, 90.00 90.00 90.00°
With the nearest neighbours (Å) after each atom.
Space group Cmmm (No. 65)
Unique sites:
1 Li 0.0000 0.0000 0.0000 (multiplicity 2)  4 Li 2.74, 4 Mo 2.88
2 In 0.0000 0.0000 0.5000 (multiplicity 2)  4 In 2.74, 4 Mo 2.91
3 Mo 0.0000 0.5000 0.2476 (multiplicity 4)  4 Mo 2.74, 2 Li 2.88, 2 In 2.91

Electronic total energy ... -6.049 eV/atom
Magnetization ... 0.0000 μB per atom
Crystal system ... orthorhombic

=====

3.
VASP calculation (GGA-PBE) on an optimized crystal structure of LiIn3Mo.

Cell: 4.8442 4.8442 4.8442 Å, 90.00 90.00 90.00°
With the nearest neighbours (Å) after each atom.
Space group Pm-3m (No. 221)
Unique sites:
1 Li 0.0000 0.0000 0.0000 (multiplicity 1)  6 In 2.42
2 In 0.0000 0.0000 0.5000 (multiplicity 3)  2 Li 2.42
3 Mo 0.5000 0.5000 0.5000 (multiplicity 1)  12 In 3.43

Magnetization ... 0.6995 μB per atom
E above lowest polymorph ... 451 meV/atom
Crystal system ... cubic

=====

4.
VASP calculation (GGA-PBE) on an optimized crystal structure of LiInMo2.

Cell: 2.7096 4.2369 5.9133 Å, 90.00 90.00 90.00°
With the nearest neighbours (Å) after each atom.
Space group Pmm2 (No. 25)
Unique sites:
1 Li 0.0000 0.0000 0.0000 (multiplicity 1)  2 Li 2.71, 5 Mo 2.85-2.97, 4 In 2.86
2 In 0.5000 0.5000 0.7703 (multiplicity 1)  2 In 2.71, 4 Li 2.86, 2 Mo 2.95-2.97
3 Mo 0.0000 0.0000 0.4814 (multiplicity 1)  6 Mo 2.71-2.81, 1 Li 2.85
4 Mo 0.5000 0.5000 0.2687 (multiplicity 1)  6 Mo 2.71-2.81, 2 In 2.95-2.97, 4 Li 2.97

Electronic total energy ... -6.256 eV/atom
Magnetization ... 0.0000 μB per atom
Crystal system ... orthorhombic

=====

Record-wise N(E_F) values, in states/eV/f.u.: 2.3, 2.7, 2.3, 3.1